# 1
{
  "formula": "La6Ho4Tm",
  "functional": "PBE-GGA",
  "state": "optimized geometry",
  "lattice_angstrom": [[-4.054, 3.121, 4.722], [-5.216, -4.317, -1.625], [7.168, -4.568, 4.042]],
  "species": ["La", "La", "La", "La", "La", "La", "Ho", "Ho", "Ho", "Ho", "Tm"],
  "fractional_positions": [[0.875, 0.489, 0.363], [0.489, 0.875, 0.363], [0.511, 0.511, 0.637], [0.000, 0.500, 0.000], [0.125, 0.125, 0.637], [0.500, 0.000, 0.000], [0.067, 0.727, 0.794], [0.933, 0.933, 0.206], [0.727, 0.067, 0.794], [0.273, 0.273, 0.206], [0.500, 0.500, 0.000]],
  "delta_e_f_mev_per_atom": 278.2,
  "sg": "No. 121",
  "e_above_lowest_polymorph_mev_per_atom": 172,
  "crystal_system": "tetragonal",
  "total_energy_ev_per_atom": -4.481
}

# 2
{
  "formula": "KSb2F7",
  "functional": "PBE-GGA",
  "state": "optimized geometry",
  "lattice_angstrom": [[-4.930, 5.659, -1.406], [-6.519, -5.793, -0.456], [-3.655, -0.560, 10.566]],
  "species": ["F", "F", "F", "F", "F", "F", "F", "F", "F", "F", "F", "F", "F", "F", "F", "F", "F", "F", "F", "F", "F", "F", "F", "F", "F", "F", "F", "F", "K", "K", "K", "K", "Sb", "Sb", "Sb", "Sb", "Sb", "Sb", "Sb", "Sb"],
  "fractional_positions": [[0.866, 0.696, 0.312], [0.366, 0.804, 0.688], [0.134, 0.304, 0.688], [0.634, 0.196, 0.312], [0.574, 0.688, 0.151], [0.074, 0.812, 0.849], [0.426, 0.312, 0.849], [0.926, 0.188, 0.151], [0.650, 0.463, 0.412], [0.150, 0.037, 0.588], [0.350, 0.537, 0.588], [0.850, 0.963, 0.412], [0.984, 0.387, 0.379], [0.484, 0.113, 0.621], [0.016, 0.613, 0.621], [0.516, 0.887, 0.379], [0.283, 0.639, 0.288], [0.783, 0.861, 0.712], [0.717, 0.361, 0.712], [0.217, 0.139, 0.288], [0.360, 0.442, 0.131], [0.860, 0.058, 0.869], [0.640, 0.558, 0.869], [0.140, 0.942, 0.131], [0.043, 0.586, 0.127], [0.543, 0.914, 0.873], [0.957, 0.414, 0.873], [0.457, 0.086, 0.127], [0.328, 0.330, 0.432], [0.828, 0.170, 0.568], [0.672, 0.670, 0.568], [0.172, 0.830, 0.432], [0.804, 0.499, 0.262], [0.304, 0.001, 0.738], [0.196, 0.501, 0.738], [0.696, 0.999, 0.262], [0.306, 0.670, 0.110], [0.806, 0.830, 0.890], [0.694, 0.330, 0.890], [0.194, 0.170, 0.110]],
  "sg": "No. 14",
  "e_form_raw_ev_per_atom": -2.517,
  "crystal_system": "monoclinic",
  "total_energy_ev_per_atom": -4.761
}

# 3
{
  "formula": "AcTb2Mn",
  "functional": "PBE-GGA",
  "state": "optimized geometry",
  "lattice_angstrom": [[3.556, 0.000, 0.000], [1.778, 3.079, 0.000], [1.778, 1.026, 11.687]],
  "species": ["Ac", "Mn", "Tb", "Tb"],
  "fractional_positions": [[0.500, 0.500, 0.500], [0.000, 0.000, 0.000], [0.080, 0.080, 0.761], [0.920, 0.920, 0.239]],
  "delta_e_f_mev_per_atom": 613.4,
  "sg": "No. 166",
  "e_above_lowest_polymorph_mev_per_atom": 459,
  "crystal_system": "trigonal",
  "total_energy_ev_per_atom": -5.021
}

# 4
{
  "formula": "Mn2Pb3",
  "functional": "PBE-GGA",
  "state": "optimized geometry",
  "lattice_angstrom": [[-6.987, -5.241, 3.915], [-4.490, 0.829, 6.118], [-5.960, -1.983, -2.912]],
  "species": ["Mn", "Mn", "Mn", "Mn", "Pb", "Pb", "Pb", "Pb", "Pb", "Pb"],
  "fractional_positions": [[0.537, 0.386, 0.913], [0.164, 0.913, 0.386], [0.864, 0.713, 0.086], [0.337, 0.086, 0.713], [0.395, 0.382, 0.436], [0.787, 0.436, 0.382], [0.868, 0.855, 0.463], [0.814, 0.463, 0.855], [0.117, 0.883, 0.883], [0.367, 0.133, 0.133]],
  "delta_e_f_mev_per_atom": 438.7,
  "sg": "No. 43",
  "e_above_lowest_polymorph_mev_per_atom": 45,
  "crystal_system": "orthorhombic",
  "total_energy_ev_per_atom": -5.454
}